No. 1
DFT (PBE) results for an optimized crystal structure of U2Si3Pd.

Geometry as POSCAR:
```
U2Si3Pd
1.0
3.8018 0.0000 0.0000
0.0000 4.1515 0.0000
0.0000 0.0000 7.1352
U Si Pd
2 3 1
Direct
0.0000 0.5000 0.9903
0.0000 0.0000 0.5102
0.5000 0.0000 0.8327
0.5000 0.0000 0.1593
0.5000 0.5000 0.6734
0.5000 0.5000 0.3342
```

## Properties
Raw total energy: -46.50 eV/cell
Calculated volume: 113 Å³/cell
Total magnetization: 4.56 μB/f.u.
Uncorrected formation energy: -411 meV per atom

No. 2
DFT (PBE) results for an optimized crystal structure of USi2Pd4.

Geometry as POSCAR:
```
USi2Pd4
1.0
3.7811 0.0000 0.0000
0.0000 7.8392 0.0000
0.0000 0.0000 7.8392
Si Pd U
4 8 2
Direct
0.5000 0.7201 0.7201
0.0000 0.2201 0.7799
0.0000 0.7799 0.2201
0.5000 0.2799 0.2799
0.0000 0.3269 0.0819
0.5000 0.8269 0.4181
0.5000 0.4181 0.8269
0.0000 0.0819 0.3269
0.0000 0.9181 0.6731
0.5000 0.5819 0.1731
0.5000 0.1731 0.5819
0.0000 0.6731 0.9181
0.5000 0.0000 0.0000
0.0000 0.5000 0.5000
```

## Properties
Raw total energy: -94.08 eV/cell
Calculated volume: 232 Å³/cell
Total magnetization: 2.46 μB/f.u.
Uncorrected formation energy: -590 meV per atom

No. 3
DFT (PBE) results for an optimized crystal structure of USiPd.

Geometry as POSCAR:
```
USiPd
1.0
-2.4351 2.1593 -2.4048
-3.8146 0.7447 1.1267
0.2134 7.4477 3.0666
U Pd Si
2 2 2
Direct
0.3072 0.3072 0.0785
0.6928 0.6928 0.9215
0.5589 0.5589 0.3234
0.4411 0.4411 0.6766
0.8720 0.8720 0.3838
0.1280 0.1280 0.6162
```

## Properties
Raw total energy: -44.52 eV/cell
Calculated volume: 109 Å³/cell
Total magnetization: 0.00 μB/f.u.
Uncorrected formation energy: -119 meV per atom

No. 4
DFT (PBE) results for an optimized crystal structure of USi2Pd2.

Geometry as POSCAR:
```
USi2Pd2
1.0
5.9060 -0.0128 0.0000
3.1213 5.0138 0.0000
-4.5137 -2.5005 2.8732
Si Pd U
2 2 1
Direct
0.6117 0.6117 0.0000
0.3883 0.3883 0.0000
0.2500 0.7500 0.5000
0.7500 0.2500 0.5000
0.0000 0.0000 0.0000
```

## Properties
Raw total energy: -35.63 eV/cell
Calculated volume: 85 Å³/cell
Total magnetization: 2.12 μB/f.u.
Uncorrected formation energy: -622 meV per atom

No. 5
DFT (PBE) results for an optimized crystal structure of USi3Pd10.

Geometry as POSCAR:
```
USi3Pd10
1.0
7.5014 0.0000 4.3310
2.5005 7.0724 4.3310
0.0000 0.0000 8.6619
Si U Pd
6 2 20
Direct
0.2628 0.2628 0.7372
0.2628 0.7372 0.7372
0.2628 0.7372 0.2628
0.7372 0.2628 0.2628
0.7372 0.2628 0.7372
0.7372 0.7372 0.2628
0.7500 0.7500 0.7500
0.2500 0.2500 0.2500
0.6540 0.3460 0.0000
0.3830 0.8509 0.3830
0.0000 0.3460 0.6540
0.6540 0.0000 0.0000
0.6170 0.6170 0.6170
0.0000 0.6540 0.3460
0.6540 0.0000 0.3460
0.3830 0.3830 0.3830
0.8509 0.3830 0.3830
0.0000 0.0000 0.3460
0.3460 0.6540 0.0000
0.3460 0.0000 0.0000
0.0000 0.0000 0.6540
0.6170 0.1491 0.6170
0.1491 0.6170 0.6170
0.6170 0.6170 0.1491
0.0000 0.6540 0.0000
0.0000 0.3460 0.0000
0.3830 0.3830 0.8509
0.3460 0.0000 0.6540
```

## Properties
Raw total energy: -174.99 eV/cell
Calculated volume: 460 Å³/cell
Total magnetization: 1.98 μB/f.u.
Uncorrected formation energy: -572 meV per atom

No. 6
DFT (PBE) results for an optimized crystal structure of USiPd.

Geometry as POSCAR:
```
USiPd
1.0
-3.6572 1.1730 1.7609
-0.1265 -5.3701 -1.7549
4.1866 -0.2469 3.7905
U Si Pd
2 2 2
Direct
0.7924 0.7923 0.7926
0.2076 0.2077 0.2074
0.5002 0.8077 0.1928
0.4998 0.1923 0.8072
0.0002 0.6572 0.3432
0.9998 0.3428 0.6568
```

## Properties
Raw total energy: -46.85 eV/cell
Calculated volume: 108 Å³/cell
Total magnetization: 0.00 μB/f.u.
Uncorrected formation energy: -507 meV per atom

No. 7
DFT (PBE) results for an optimized crystal structure of USi2Pd3.

Geometry as POSCAR:
```
USi2Pd3
1.0
-1.0131 -0.3031 3.8364
-6.2687 -3.9455 -4.0312
7.3108 -6.4826 1.4185
U Pd Si
3 9 6
Direct
0.0000 0.0000 0.0000
0.8427 0.6854 0.3024
0.1573 0.3146 0.6976
0.3193 0.6387 0.0338
0.2184 0.4367 0.3931
0.6198 0.2396 0.1973
0.0388 0.0777 0.3303
0.6807 0.3613 0.9662
0.7816 0.5633 0.6069
0.9612 0.9223 0.6697
0.3802 0.7604 0.8027
0.5000 0.0000 0.5000
0.5407 0.0815 0.7810
0.4593 0.9185 0.2190
0.8004 0.6008 0.8668
0.1996 0.3992 0.1332
0.6365 0.2730 0.4532
0.3635 0.7270 0.5468
```

## Properties
Raw total energy: -123.96 eV/cell
Calculated volume: 305 Å³/cell
Total magnetization: 2.37 μB/f.u.
Uncorrected formation energy: -601 meV per atom

No. 8
DFT (PBE) results for an optimized crystal structure of USi2Pd.

Geometry as POSCAR:
```
USi2Pd
1.0
3.9960 0.0000 0.0000
0.0000 10.5670 0.0000
0.0000 0.0000 13.3622
Pd Si U
8 16 8
Direct
0.2500 0.8352 0.2959
0.7500 0.5524 0.9389
0.7500 0.1648 0.7041
0.2500 0.4476 0.0611
0.2500 0.0524 0.5611
0.7500 0.9476 0.4389
0.7500 0.3352 0.2041
0.2500 0.6648 0.7959
0.2500 0.2547 0.7918
0.7500 0.5429 0.4715
0.2500 0.2688 0.6134
0.7500 0.7312 0.3866
0.7500 0.9571 0.9715
0.2500 0.2453 0.2918
0.2500 0.0429 0.0285
0.7500 0.7688 0.8866
0.7500 0.7453 0.2082
0.2500 0.2312 0.1134
0.7500 0.5513 0.1274
0.2500 0.4487 0.8726
0.7500 0.7547 0.7082
0.2500 0.0513 0.3726
0.2500 0.4571 0.5285
0.7500 0.9487 0.6274
0.7500 0.0371 0.1949
0.7500 0.4629 0.6949
0.2500 0.7378 0.5506
0.7500 0.2622 0.4494
0.2500 0.9629 0.8051
0.2500 0.5371 0.3051
0.2500 0.7622 0.0506
0.7500 0.2378 0.9494
```

## Properties
Raw total energy: -234.09 eV/cell
Calculated volume: 564 Å³/cell
Total magnetization: 2.17 μB/f.u.
Uncorrected formation energy: -484 meV per atom